This record from Alexandria describes a relaxed Ta3AgP crystal. The functional is PBE-GGA.

Values from the calculation:
Formation energy from the elements = 0.484 eV/atom
SG = Pm-3m (221)
Excess energy over the best structure of this formula in the dataset = 0.000 eV per atom
Spin magnetization = 0.000 μB per atom
DFT total energy = -8.280 eV per atom

Cell and atoms, written as POSCAR:
```
Ta3AgP
1.0
4.599 0.000 0.000
0.000 4.599 0.000
0.000 0.000 4.599
P Ag Ta
1 1 3
Direct
0.000 0.000 0.000
0.500 0.500 0.500
0.000 0.500 0.000
0.000 0.000 0.500
0.500 0.000 0.000
```